Record 1
Material: Te2IrRuN
Method: DFT, GGA-PBE
State: relaxed

a b c (Å): 5.380 5.380 3.600
angles (deg): 90.00 90.00 90.00
Last column: magnetic moment on the atom in μB.
Sites, in units of the cell vectors:
Te 0.500 0.000 0.000  -0.02
Te 0.000 0.500 0.000  -0.02
N 0.000 0.000 0.500  -0.01
Ir 0.000 0.000 0.000  -0.01
Ru 0.500 0.500 0.500  1.02

## Properties
Space-group type   P4/mmm

Record 2
Material: DyGa2Cu9
Method: DFT, GGA-PBE
State: relaxed

a b c (Å): 4.969 4.969 8.464
angles (deg): 72.93 72.93 60.00
Sites, in units of the cell vectors:
Ga 0.858 0.858 0.426
Ga 0.142 0.142 0.574
Cu 0.334 0.334 0.998
Cu 0.666 0.666 0.002
Cu 0.589 0.589 0.742
Cu 0.411 0.411 0.258
Cu 0.411 0.919 0.258
Cu 0.500 0.500 0.500
Cu 0.919 0.411 0.258
Cu 0.081 0.589 0.742
Cu 0.589 0.081 0.742
Dy 0.000 0.000 0.000

## Properties
Energy relative to the elements   -1.45 eV/f.u.
Space-group type   R-3m

Number 1: uncorrected energy -28.8 eV/cell. Number 2: uncorrected energy -49.0 eV/cell.